Sm2TeO6 PBE relaxed; calculated volume = 515.9 Å³ per cell; total magnetic moment = 0.00 μB/f.u.; energy relative to the elements, uncorrected = -22.59 eV per formula unit; crystal system = orthorhombic; total DFT energy (no corrections) = -259.69 eV for the cell shown
1.0
5.420 0.000 0.000
0.000 9.326 0.000
0.000 0.000 10.205
Sm Te O
8 4 24
Cartesian
0.122 0.966 4.699 Sm
0.197 2.024 8.815 Sm
2.513 7.303 3.712 Sm
2.588 8.360 9.801 Sm
2.832 3.697 5.507 Sm
2.907 2.639 1.391 Sm
5.223 6.687 6.493 Sm
5.298 5.629 0.404 Sm
0.217 4.620 3.617 Te
2.493 4.706 8.720 Te
2.928 0.043 6.588 Te
5.203 9.284 1.485 Te
0.425 7.905 0.269 O
0.908 8.842 2.984 O
0.989 5.957 2.459 O
1.015 5.958 8.396 O
1.226 1.052 0.676 O
1.332 5.465 5.027 O
1.378 3.862 10.130 O
1.484 8.275 5.779 O
1.695 3.368 3.293 O
1.721 3.369 7.561 O
1.802 0.484 8.087 O
2.285 1.421 5.371 O
3.135 6.084 9.937 O
3.618 5.147 7.221 O
3.699 8.032 7.747 O
3.725 8.031 1.809 O
3.936 3.611 9.529 O
4.042 8.525 5.178 O
4.088 0.802 0.076 O
4.195 5.715 4.426 O
4.405 1.295 6.912 O
4.431 1.294 2.644 O
4.512 4.179 2.118 O
4.995 3.242 4.834 O

---

Sm2TeO6 PBE relaxed; calculated volume = 267.3 Å³ per cell; total magnetic moment = 0.00 μB/f.u.; energy relative to the elements, uncorrected = -21.70 eV per formula unit; crystal system = tetragonal; total DFT energy (no corrections) = -128.06 eV for the cell shown
1.0
5.089 0.000 0.000
0.000 5.089 0.000
0.000 0.000 10.323
Sm Te O
4 2 12
Cartesian
0.000 0.000 1.707 Sm
0.000 0.000 8.616 Sm
2.545 2.545 3.454 Sm
2.545 2.545 6.868 Sm
0.000 0.000 5.161 Te
2.545 2.545 0.000 Te
0.920 0.920 3.692 O
0.920 0.920 6.631 O
1.158 1.158 0.000 O
1.387 3.702 5.161 O
1.625 3.464 1.470 O
1.625 3.464 8.853 O
3.464 1.625 1.470 O
3.464 1.625 8.853 O
3.702 1.387 5.161 O
3.931 3.931 0.000 O
4.169 4.169 3.692 O
4.169 4.169 6.631 O

---

Sm2Te2O PBE relaxed; calculated volume = 261.7 Å³ per cell; total magnetic moment = 0.00 μB/f.u.; energy relative to the elements, uncorrected = -10.51 eV per formula unit; crystal system = monoclinic; total DFT energy (no corrections) = -62.39 eV for the cell shown
1.0
6.686 -2.030 0.000
6.686 2.030 0.000
-6.397 0.000 9.640
Sm Te O
4 4 2
Cartesian
-0.809 0.000 1.640 Sm
-1.178 0.000 5.538 Sm
8.154 0.000 4.102 Sm
7.784 0.000 8.000 Sm
-1.331 0.000 8.783 Te
4.136 0.000 3.224 Te
2.840 0.000 6.416 Te
8.306 0.000 0.857 Te
0.331 0.000 3.721 O
6.644 0.000 5.919 O

---

Sm6TeO12 PBE relaxed; calculated volume = 284.0 Å³ per cell; total magnetic moment = 0.00 μB/f.u.; energy relative to the elements, uncorrected = -57.57 eV per formula unit; crystal system = trigonal; total DFT energy (no corrections) = -148.53 eV for the cell shown
1.0
5.047 2.914 3.218
-5.047 2.914 3.218
0.000 -5.828 3.218
Sm Te O
6 1 12
Cartesian
-3.545 -1.072 5.043 Sm
-0.844 -3.606 4.610 Sm
-2.701 2.534 4.610 Sm
2.701 -2.534 5.043 Sm
0.844 3.606 5.043 Sm
3.545 1.072 4.610 Sm
0.000 0.000 4.826 Te
-4.259 0.944 4.156 O
-2.947 -3.217 5.497 O
-1.130 -1.239 3.769 O
1.312 -4.160 4.156 O
-0.508 1.599 3.769 O
-1.638 0.359 5.883 O
1.638 -0.359 3.769 O
0.508 -1.599 5.883 O
-1.312 4.160 5.497 O
1.130 1.239 5.883 O
2.947 3.217 4.156 O
4.259 -0.944 5.497 O

---

Sm2Te4O11 PBE relaxed; calculated volume = 533.0 Å³ per cell; total magnetic moment = 0.00 μB/f.u.; energy relative to the elements, uncorrected = -31.15 eV per formula unit; crystal system = monoclinic; total DFT energy (no corrections) = -215.39 eV for the cell shown
1.0
6.332 -2.628 0.000
6.332 2.628 0.000
-4.214 0.000 16.018
Sm Te O
4 8 22
Cartesian
0.778 1.317 15.414 Sm
5.564 1.317 8.612 Sm
2.885 -1.317 7.405 Sm
7.671 -1.317 0.603 Sm
2.029 1.481 10.008 Te
3.551 1.469 4.831 Te
7.005 1.469 3.178 Te
4.313 1.481 14.019 Te
4.136 -1.481 1.999 Te
1.444 -1.469 12.840 Te
4.898 -1.469 11.187 Te
6.420 -1.481 6.010 Te
4.339 2.195 6.432 O
6.217 2.195 1.577 O
-1.351 0.216 15.165 O
0.480 0.340 10.035 O
0.756 -0.216 7.156 O
0.956 0.266 13.321 O
2.587 -0.340 2.026 O
3.135 0.594 8.746 O
5.278 0.789 4.004 O
3.063 -0.266 5.312 O
3.207 0.594 15.281 O
5.242 -0.594 0.737 O
5.386 0.266 10.706 O
3.171 -0.789 12.013 O
5.314 -0.594 7.272 O
5.862 0.340 13.992 O
7.493 -0.266 2.697 O
7.693 0.216 8.861 O
7.969 -0.340 5.983 O
9.800 -0.216 0.853 O
2.232 -2.195 14.441 O
4.110 -2.195 9.586 O

---

Sm2TeO6 PBE relaxed; calculated volume = 400.3 Å³ per cell; total magnetic moment = 0.00 μB/f.u.; energy relative to the elements, uncorrected = -22.42 eV per formula unit; crystal system = trigonal; total DFT energy (no corrections) = -194.24 eV for the cell shown
1.0
9.271 0.000 0.000
-4.635 8.029 0.000
0.000 0.000 5.378
Sm Te O
6 3 18
Cartesian
-1.279 2.214 0.000 Sm
-2.842 4.922 2.689 Sm
2.557 0.000 0.000 Sm
1.793 3.106 2.689 Sm
5.684 0.000 2.689 Sm
3.357 5.814 0.000 Sm
0.000 0.000 2.689 Te
0.000 5.352 5.346 Te
4.635 2.676 0.033 Te
-3.402 7.023 1.565 O
0.254 1.571 1.565 O
-1.269 4.381 1.091 O
1.234 1.006 3.814 O
-1.400 6.126 4.208 O
0.030 3.753 4.208 O
-0.207 6.937 1.091 O
1.476 4.740 1.091 O
3.236 1.903 1.170 O
1.370 6.178 4.208 O
4.428 1.092 4.288 O
3.367 3.648 4.288 O
6.005 1.851 1.170 O
4.665 4.275 1.170 O
3.148 7.463 1.565 O
6.111 3.289 4.288 O
7.783 0.566 3.814 O
4.889 6.457 3.814 O

---

SmTe2O8 PBE relaxed; calculated volume = 156.2 Å³ per cell; total magnetic moment = 1.03 μB/f.u.; energy relative to the elements, uncorrected = -14.13 eV per formula unit; crystal system = monoclinic; total DFT energy (no corrections) = -64.80 eV for the cell shown
1.0
3.615 -3.928 0.000
3.615 3.928 0.000
-2.638 0.000 5.502
Sm Te O
1 2 8
Cartesian
0.000 0.000 0.000 Sm
2.296 1.205 2.751 Te
2.296 -2.047 2.751 Te
-0.778 0.760 4.175 O
2.968 2.157 1.302 O
1.624 2.157 4.199 O
1.979 -0.433 1.569 O
0.504 -2.323 3.615 O
2.614 -0.433 3.933 O
5.370 0.760 1.327 O
4.088 -2.323 1.887 O

---

SmTe2O6 PBE relaxed; calculated volume = 338.7 Å³ per cell; total magnetic moment = 0.00 μB/f.u.; energy relative to the elements, uncorrected = -14.60 eV per formula unit; crystal system = monoclinic; total DFT energy (no corrections) = -110.71 eV for the cell shown
1.0
5.764 -4.228 0.000
5.764 4.228 0.000
-3.647 0.000 6.948
Sm Te O
2 4 12
Cartesian
3.029 3.583 5.211 Sm
4.852 -3.583 1.737 Sm
0.864 0.237 5.096 Te
2.687 -0.237 1.621 Te
5.193 0.237 5.327 Te
7.017 -0.237 1.853 Te
-0.792 0.487 4.185 O
1.447 2.014 5.106 O
1.032 -0.487 0.711 O
3.760 0.365 0.053 O
1.937 -0.365 3.527 O
4.610 2.014 5.316 O
3.270 -2.014 1.632 O
5.944 0.365 3.422 O
4.120 -0.365 6.896 O
6.849 0.487 6.238 O
6.434 -2.014 1.842 O
8.673 -0.487 2.764 O